A plane-wave DFT calculation with GGA-PBE was carried out for a relaxed structure of Cs6K4Na.

Values from the calculation:
**ΔE_f**: 0.05 eV per atom
**N(E_F)**: 10.32 states/eV/cell
**Volume**: 94.47 Å³ per atom
**Size of the total moment**: 0.0 Bohr magnetons per cell

Lattice parameters (Å, degrees): 9.1463 9.1463 14.0051 109.06 109.06 90.00
Last column: nearest neighbours and their distance in Å.
Atoms (fractional coordinates):
Cs1 0.8689 0.8689 0.3589  5 K 4.82-5.01, 1 Cs 4.90, 1 Na 5.09
Cs2 0.4899 0.4899 0.3589  5 K 4.82-5.01, 1 Cs 4.90, 1 Na 5.09
Cs3 0.5000 0.0000 0.0000  2 Na 4.57, 4 K 4.60
Cs4 0.1311 0.5101 0.6411  5 K 4.82-5.01, 1 Cs 4.90, 1 Na 5.09
Cs5 0.5101 0.1311 0.6411  5 K 4.82-5.01, 1 Cs 4.90, 1 Na 5.09
Cs6 0.0000 0.5000 0.0000  2 Na 4.57, 4 K 4.60
K1 0.9479 0.3046 0.2525  7 Cs 4.60-5.01, 1 K 4.61
K2 0.0521 0.0521 0.7475  7 Cs 4.60-5.01, 1 K 4.61
K3 0.6954 0.6954 0.7475  7 Cs 4.60-5.01, 1 K 4.61
K4 0.3046 0.9479 0.2525  7 Cs 4.60-5.01, 1 K 4.61
Na1 0.5000 0.5000 0.0000  8 Cs 4.57-5.09

A plane-wave DFT calculation with GGA-PBE was carried out for a relaxed structure of Cs2KNa16.

Values from the calculation:
**ΔE_f**: 0.02 eV per atom
**N(E_F)**: 10.07 states/eV/cell
**Volume**: 45.88 Å³ per atom
**Size of the total moment**: 0.0 Bohr magnetons per cell

Lattice parameters (Å, degrees): 9.6181 9.6181 9.6181 83.08 83.08 83.08
Last column: nearest neighbours and their distance in Å.
Atoms (fractional coordinates):
Na1 0.3420 0.8525 0.3420  9 Na 3.58-3.88
Na2 0.1580 0.6503 0.6503  8 Na 3.73-3.89, 1 K 4.04
Na3 0.8525 0.3420 0.3420  9 Na 3.58-3.88
Na4 0.7042 0.0014 0.2977  8 Na 3.61-3.89
Na5 0.0057 0.4874 0.0057  9 Na 3.58-3.79
Na6 0.6503 0.1580 0.6503  8 Na 3.73-3.89, 1 K 4.04
Na7 0.3420 0.3420 0.8525  9 Na 3.58-3.88
Na8 0.6503 0.6503 0.1580  8 Na 3.73-3.89, 1 K 4.04
Na9 0.7042 0.2977 0.0014  8 Na 3.61-3.89
Na10 0.0014 0.7042 0.2977  8 Na 3.61-3.89
Na11 0.4874 0.0057 0.0057  9 Na 3.58-3.79
Na12 0.2977 0.0014 0.7042  8 Na 3.61-3.89
Na13 0.0014 0.2977 0.7042  8 Na 3.61-3.89
Na14 0.2977 0.7042 0.0014  8 Na 3.61-3.89
Na15 0.0057 0.0057 0.4874  9 Na 3.58-3.79
Na16 0.1043 0.1043 0.1043  6 Na 3.73-3.86, 1 K 3.76
Cs1 0.6505 0.6505 0.6505  15 Na 4.52-4.88, 1 K 4.67
Cs2 0.3429 0.3429 0.3429  19 Na 4.43-4.90
K1 0.9020 0.9020 0.9020  7 Na 3.76-4.04

A plane-wave DFT calculation with GGA-PBE was carried out for a relaxed structure of Cs6KNa10.

Values from the calculation:
**ΔE_f**: 0.09 eV per atom
**N(E_F)**: 13.84 states/eV/cell
**Volume**: 65.34 Å³ per atom
**Size of the total moment**: 0.0 Bohr magnetons per cell

Lattice parameters (Å, degrees): 12.3906 12.3906 8.3548 90.00 90.00 120.00
Last column: nearest neighbours and their distance in Å.
Atoms (fractional coordinates):
Cs1 0.0000 0.6099 0.7166  7 Na 4.17-4.50, 1 Cs 4.53
Cs2 0.3901 0.0000 0.2834  7 Na 4.17-4.50, 1 Cs 4.53
Cs3 0.0000 0.3901 0.2834  7 Na 4.17-4.50, 1 Cs 4.53
Cs4 0.3901 0.3901 0.7166  7 Na 4.17-4.50, 1 Cs 4.53
Cs5 0.6099 0.6099 0.2834  7 Na 4.17-4.50, 1 Cs 4.53
Cs6 0.6099 0.0000 0.7166  7 Na 4.17-4.50, 1 Cs 4.53
Na1 0.0000 0.7735 0.1534  2 Na 3.80, 1 K 4.03, 1 Cs 4.17
Na2 0.6667 0.3333 0.5000  2 Na 4.18, 6 Cs 4.23
Na3 0.7735 0.7735 0.8466  2 Na 3.80, 1 K 4.03, 1 Cs 4.17
Na4 0.0000 0.2265 0.8466  2 Na 3.80, 1 K 4.03, 1 Cs 4.17
Na5 0.7735 0.0000 0.1534  2 Na 3.80, 1 K 4.03, 1 Cs 4.17
Na6 0.3333 0.6667 0.0000  2 Na 4.18, 6 Cs 4.50
Na7 0.6667 0.3333 0.0000  2 Na 4.18, 6 Cs 4.50
Na8 0.2265 0.0000 0.8466  2 Na 3.80, 1 K 4.03, 1 Cs 4.17
Na9 0.2265 0.2265 0.1534  2 Na 3.80, 1 K 4.03, 1 Cs 4.17
Na10 0.3333 0.6667 0.5000  2 Na 4.18, 6 Cs 4.23
K1 0.0000 0.0000 0.5000  6 Na 4.03

A plane-wave DFT calculation with GGA-PBE was carried out for a relaxed structure of Cs4K5Na3.

Values from the calculation:
**ΔE_f**: 0.06 eV per atom
**N(E_F)**: 9.03 states/eV/cell
**Volume**: 80.98 Å³ per atom
**Size of the total moment**: 0.0 Bohr magnetons per cell
**Relative energy among the computed polymorphs**: 13 meV per atom

Lattice parameters (Å, degrees): 9.0108 9.0108 18.2816 62.90 62.90 49.15
Last column: nearest neighbours and their distance in Å.
Atoms (fractional coordinates):
K1 0.4024 0.4024 0.1366  1 Na 3.79
K2 0.5637 0.5637 0.2654  3 Na 3.87-3.90, 1 K 4.33
K3 0.5976 0.5976 0.8634  1 Na 3.79
K4 0.0000 0.0000 0.5000  4 Na 3.75-3.85
K5 0.4363 0.4363 0.7346  3 Na 3.87-3.90, 1 K 4.33
Cs1 0.1934 0.1934 0.6441  2 Na 4.35-4.74
Cs2 0.8518 0.8518 0.9876  1 Na 4.36
Cs3 0.1482 0.1482 0.0124  1 Na 4.36
Cs4 0.8066 0.8066 0.3559  2 Na 4.35-4.74
Na1 0.5000 0.5000 0.5000  4 K 3.75-3.87
Na2 0.1350 0.1350 0.2567  4 K 3.79-3.90
Na3 0.8650 0.8650 0.7433  4 K 3.79-3.90